Record 1
A geometry-optimized AlCo2P structure, computed with PBE.

As for the excess energy over the best structure of this formula in the dataset: 64 meV/atom.

```
data_AlCo2P
_space_group_name_H-M_alt 'P m m 2'
_space_group_IT_number 25
_space_group_name_Hall 'P 2 -2'
_cell_length_a 2.8068
_cell_length_b 3.3853
_cell_length_c 4.8583
_cell_angle_alpha 90.00
_cell_angle_beta 90.00
_cell_angle_gamma 90.00
loop_
_atom_site_label
_atom_site_fract_x
_atom_site_fract_y
_atom_site_fract_z
_atom_site_occupancy
Al1 0.0000 0.0000 0.0000 1
Co1 0.0000 0.0000 0.5119 1
Co2 0.5000 0.5000 0.1975 1
P1 0.5000 0.5000 0.6727 1
```



Record 2
A geometry-optimized Sr2FeW structure, computed with PBE.

As for the excess energy over the best structure of this formula in the dataset: 724 meV/atom.

```
data_Sr2FeW
_space_group_name_H-M_alt 'P 4/m m m'
_space_group_IT_number 123
_space_group_name_Hall '-P 4 2'
_cell_length_a 3.0448
_cell_length_b 3.0448
_cell_length_c 10.1369
_cell_angle_alpha 90.00
_cell_angle_beta 90.00
_cell_angle_gamma 90.00
loop_
_atom_site_label
_atom_site_fract_x
_atom_site_fract_y
_atom_site_fract_z
_atom_site_occupancy
Sr1 0.0000 0.0000 0.2432 1
Fe1 0.5000 0.5000 0.0000 1
W1 0.5000 0.5000 0.5000 1
```



Record 3
A geometry-optimized Th4TeC2 structure, computed with PBE.

The value obtained for the formation energy without anion corrections is -0.5163 eV per atom.

```
data_Th4TeC2
_space_group_name_H-M_alt 'R -3 m'
_space_group_IT_number 166
_space_group_name_Hall '-R 3 2"'
_cell_length_a 3.8103
_cell_length_b 3.8103
_cell_length_c 41.5527
_cell_angle_alpha 90.00
_cell_angle_beta 90.00
_cell_angle_gamma 120.00
loop_
_atom_site_label
_atom_site_fract_x
_atom_site_fract_y
_atom_site_fract_z
_atom_site_occupancy
Th1 0.0000 0.0000 0.1255 1
Th2 0.0000 0.0000 0.2757 1
Te1 0.0000 0.0000 0.0000 1
C1 0.0000 0.0000 0.4252 1
```



Record 4
A geometry-optimized K3Er3ThSe8 structure, computed with PBE.

The value obtained for the formation energy without anion corrections is -1.7563 eV per atom.

```
data_K3Er3ThSe8
_space_group_name_H-M_alt 'R -3 m'
_space_group_IT_number 166
_space_group_name_Hall '-R 3 2"'
_cell_length_a 8.3665
_cell_length_b 8.3665
_cell_length_c 23.3829
_cell_angle_alpha 90.00
_cell_angle_beta 90.00
_cell_angle_gamma 120.00
loop_
_atom_site_label
_atom_site_fract_x
_atom_site_fract_y
_atom_site_fract_z
_atom_site_occupancy
K1 0.0000 0.5000 0.0000 1
Er1 0.0000 0.5000 0.5000 1
Th1 0.0000 0.0000 0.5000 1
Se1 0.0000 0.0000 0.2338 1
Se2 0.0062 0.5031 0.7657 1
```